1.
# AuSe2S2Br2, optimized geometry, DFT GGA-PBE
data_AuSe2S2Br2
_symmetry_space_group_name_H-M 'P 1'
_symmetry_Int_Tables_number 1
_cell_length_a 7.161
_cell_length_b 7.161
_cell_length_c 7.561
_cell_angle_alpha 100.39
_cell_angle_beta 100.39
_cell_angle_gamma 37.17
loop_
_symmetry_equiv_pos_as_xyz
'x,y,z'
loop_
_atom_site_label
_atom_site_type_symbol
_atom_site_fract_x
_atom_site_fract_y
_atom_site_fract_z
_atom_site_occupancy
Au1 Au 0.000 0.000 0.000 1
Se1 Se 0.286 0.286 0.807 1
Se2 Se 0.714 0.714 0.193 1
S1 S 0.172 0.172 0.083 1
S2 S 0.828 0.828 0.917 1
Br1 Br 0.394 0.394 0.587 1
Br2 Br 0.606 0.606 0.413 1
# Formation energy without anion corrections: 64 meV per atom
# Symmetry: C2/m (12)
# Magnetic moment: 0.0 μB per formula unit
# Final energy: -3.057 eV/atom


2.
# SrAu2SBr, optimized geometry, DFT GGA-PBE
data_SrAu2SBr
_symmetry_space_group_name_H-M 'P 1'
_symmetry_Int_Tables_number 1
_cell_length_a 5.071
_cell_length_b 5.071
_cell_length_c 5.586
_cell_angle_alpha 90.00
_cell_angle_beta 90.00
_cell_angle_gamma 90.00
loop_
_symmetry_equiv_pos_as_xyz
'x,y,z'
loop_
_atom_site_label
_atom_site_type_symbol
_atom_site_fract_x
_atom_site_fract_y
_atom_site_fract_z
_atom_site_occupancy
Sr1 Sr 0.000 0.000 0.000 1
Au1 Au 0.000 0.500 0.500 1
Au2 Au 0.500 0.000 0.500 1
S1 S 0.500 0.500 0.000 1
Br1 Br 0.500 0.500 0.500 1
# Formation energy without anion corrections: 30 meV per atom
# Symmetry: P4/mmm (123)
# Magnetic moment: 0.0 μB per formula unit
# Final energy: -2.777 eV/atom


3.
# Sb2AuBr, optimized geometry, DFT GGA-PBE
data_Sb2AuBr
_symmetry_space_group_name_H-M 'P 1'
_symmetry_Int_Tables_number 1
_cell_length_a 4.335
_cell_length_b 4.507
_cell_length_c 6.364
_cell_angle_alpha 90.00
_cell_angle_beta 91.74
_cell_angle_gamma 90.00
loop_
_symmetry_equiv_pos_as_xyz
'x,y,z'
loop_
_atom_site_label
_atom_site_type_symbol
_atom_site_fract_x
_atom_site_fract_y
_atom_site_fract_z
_atom_site_occupancy
Sb1 Sb 0.236 0.000 0.167 1
Sb2 Sb 0.764 0.000 0.833 1
Au1 Au 0.500 0.500 0.000 1
Br1 Br 0.000 0.500 0.500 1
# Formation energy without anion corrections: -83 meV per atom
# Energy above the lowest structure with this stoichiometry: 9.3 kJ per mole of atoms
# Symmetry: P2/m (10)
# Magnetic moment: 0.0 μB per formula unit
# Final energy: -3.381 eV/atom